## PrCo5B2 (PBE)

Data for PrCo5B2 after structural relaxation.

Properties
Energy of formation in meV per atom: -181
DOS at the Fermi energy in states/eV/f.u.: 10.4

Geometry as CIF:
```
data_PrCo5B2
_chemical_formula_sum 'Pr2 Co10 B4'
_space_group_name_H-M_alt 'I m m m'
_space_group_IT_number 71
_space_group_name_Hall '-I 2 2'
_cell_length_a 3.431
_cell_length_b 6.268
_cell_length_c 8.657
_cell_angle_alpha 90.00
_cell_angle_beta 90.00
_cell_angle_gamma 90.00
loop_
_atom_site_label
_atom_site_fract_x
_atom_site_fract_y
_atom_site_fract_z
_atom_site_occupancy
Pr1 0.000 0.000 0.000 1
Co1 0.000 0.186 0.339 1
Co2 0.000 0.500 0.000 1
B1 0.000 0.500 0.230 1
```



## PrCoB2 (PBE)

Data for PrCoB2 after structural relaxation.

Properties
Distance to the lowest polymorph of the same formula in meV/atom: 150.4
Energy of formation in meV per atom: -238
DOS at the Fermi energy in states/eV/f.u.: 2.7

Geometry as CIF:
```
data_PrCoB2
_chemical_formula_sum 'Pr3 Co3 B6'
_space_group_name_H-M_alt 'R -3 m'
_space_group_IT_number 166
_space_group_name_Hall '-R 3 2"'
_cell_length_a 3.4616
_cell_length_b 3.4616
_cell_length_c 15.1978
_cell_angle_alpha 90.00
_cell_angle_beta 90.00
_cell_angle_gamma 120.00
loop_
_atom_site_label
_atom_site_fract_x
_atom_site_fract_y
_atom_site_fract_z
_atom_site_occupancy
Pr1 0.0000 0.0000 0.0000 1
Co1 0.0000 0.0000 0.5000 1
B1 0.0000 0.0000 0.1852 1
```



## PrCoB (PBE)

Data for PrCoB after structural relaxation.

Properties
Distance to the lowest polymorph of the same formula in meV/atom: 248.0
Energy of formation in meV per atom: -140
DOS at the Fermi energy in states/eV/f.u.: 3.1

Geometry as CIF:
```
data_PrCoB
_chemical_formula_sum 'Pr1 Co1 B1'
_space_group_name_H-M_alt 'P -6 m 2'
_space_group_IT_number 187
_space_group_name_Hall 'P -6 2'
_cell_length_a 3.6023
_cell_length_b 3.6023
_cell_length_c 4.2747
_cell_angle_alpha 90.00
_cell_angle_beta 90.00
_cell_angle_gamma 120.00
loop_
_atom_site_label
_atom_site_fract_x
_atom_site_fract_y
_atom_site_fract_z
_atom_site_occupancy
Pr1 0.0000 0.0000 0.0000 1
Co1 0.3333 0.6667 0.5000 1
B1 0.6667 0.3333 0.5000 1
```



## Pr3Co11B4 (PBE)

Data for Pr3Co11B4 after structural relaxation.

Properties
Energy of formation in meV per atom: -255
DOS at the Fermi energy in states/eV/f.u.: 17.4

Geometry as CIF:
```
data_Pr3Co11B4
_chemical_formula_sum 'Pr3 Co11 B4'
_space_group_name_H-M_alt 'P 6/m m m'
_space_group_IT_number 191
_space_group_name_Hall '-P 6 2'
_cell_length_a 5.1496
_cell_length_b 5.1496
_cell_length_c 9.7437
_cell_angle_alpha 90.00
_cell_angle_beta 90.00
_cell_angle_gamma 120.00
loop_
_atom_site_label
_atom_site_fract_x
_atom_site_fract_y
_atom_site_fract_z
_atom_site_occupancy
Pr1 0.0000 0.0000 0.0000 1
Pr2 0.0000 0.0000 0.3411 1
Co1 0.0000 0.5000 0.2040 1
Co2 0.0000 0.5000 0.5000 1
Co3 0.3333 0.6667 0.0000 1
B1 0.3333 0.6667 0.3498 1
```



## Pr5Co2B6 (PBE)

Data for Pr5Co2B6 after structural relaxation.

Properties
Energy of formation in meV per atom: -392
DOS at the Fermi energy in states/eV/f.u.: 5.4

Geometry as CIF:
```
data_Pr5Co2B6
_chemical_formula_sum 'Pr15 Co6 B18'
_space_group_name_H-M_alt 'R -3 m'
_space_group_IT_number 166
_space_group_name_Hall '-R 3 2"'
_cell_length_a 5.4842
_cell_length_b 5.4842
_cell_length_c 25.0290
_cell_angle_alpha 90.00
_cell_angle_beta 90.00
_cell_angle_gamma 120.00
loop_
_atom_site_label
_atom_site_fract_x
_atom_site_fract_y
_atom_site_fract_z
_atom_site_occupancy
Pr1 0.0000 0.0000 0.0000 1
Pr2 0.0000 0.0000 0.2505 1
Pr3 0.0000 0.0000 0.4173 1
Co1 0.0000 0.0000 0.1236 1
B1 0.0000 0.3330 0.5000 1
```



## Pr3Co13B2 (PBE)

Data for Pr3Co13B2 after structural relaxation.

Properties
Energy of formation in meV per atom: -130
DOS at the Fermi energy in states/eV/f.u.: 27.1

Geometry as CIF:
```
data_Pr3Co13B2
_chemical_formula_sum 'Pr3 Co13 B2'
_space_group_name_H-M_alt 'P 6/m m m'
_space_group_IT_number 191
_space_group_name_Hall '-P 6 2'
_cell_length_a 5.0951
_cell_length_b 5.0951
_cell_length_c 10.7673
_cell_angle_alpha 90.00
_cell_angle_beta 90.00
_cell_angle_gamma 120.00
loop_
_atom_site_label
_atom_site_fract_x
_atom_site_fract_y
_atom_site_fract_z
_atom_site_occupancy
Pr1 0.0000 0.0000 0.0000 1
Pr2 0.0000 0.0000 0.3232 1
Co1 0.0000 0.5000 0.1344 1
Co2 0.0000 0.5000 0.5000 1
Co3 0.3333 0.6667 0.3182 1
B1 0.3333 0.6667 0.0000 1
```



## Pr3CoB7 (PBE)

Data for Pr3CoB7 after structural relaxation.

Properties
Energy of formation in meV per atom: -316
DOS at the Fermi energy in states/eV/f.u.: 5.2

Geometry as CIF:
```
data_Pr3CoB7
_chemical_formula_sum 'Pr12 Co4 B28'
_space_group_name_H-M_alt 'C m c m'
_space_group_IT_number 63
_space_group_name_Hall '-C 2c 2'
_cell_length_a 3.503
_cell_length_b 16.059
_cell_length_c 10.167
_cell_angle_alpha 90.00
_cell_angle_beta 90.00
_cell_angle_gamma 90.00
loop_
_atom_site_label
_atom_site_fract_x
_atom_site_fract_y
_atom_site_fract_z
_atom_site_occupancy
Pr1 0.000 0.097 0.048 1
Pr2 0.000 0.259 0.750 1
Co1 0.000 0.070 0.750 1
B1 0.000 0.271 0.032 1
B2 0.000 0.357 0.157 1
B3 0.000 0.458 0.750 1
B4 0.000 0.463 0.144 1
```



## PrCoB2 (PBE)

Data for PrCoB2 after structural relaxation.

Properties
Distance to the lowest polymorph of the same formula in meV/atom: 0.0
Energy of formation in meV per atom: -388
DOS at the Fermi energy in states/eV/f.u.: 2.1

Geometry as CIF:
```
data_PrCoB2
_chemical_formula_sum 'Pr2 Co2 B4'
_space_group_name_H-M_alt 'P 1 21/m 1'
_space_group_IT_number 11
_cell_length_a 3.159
_cell_length_b 5.367
_cell_length_c 6.496
_cell_angle_alpha 90.00
_cell_angle_beta 103.87
_cell_angle_gamma 90.00
loop_
_space_group_symop_operation_xyz
'x,y,z'
'-x,-y,-z'
'-x,y+1/2,-z'
'x,-y+1/2,z'
loop_
_atom_site_label
_atom_site_fract_x
_atom_site_fract_y
_atom_site_fract_z
_atom_site_occupancy
Pr1 0.083 0.250 0.161 1
Co1 0.330 0.250 0.663 1
B1 0.254 0.589 0.508 1
```



## Pr3Co29Si4B10 (PBE)

Data for Pr3Co29Si4B10 after structural relaxation.

Properties
DOS at the Fermi energy in states/eV/f.u.: 46.9
Formation energy from raw total energies in meV/atom: -388

Geometry as CIF:
```
data_Pr3Co29Si4B10
_chemical_formula_sum 'Pr6 Co58 Si8 B20'
_space_group_name_H-M_alt 'P 4/n m m'
_space_group_IT_number 129
_cell_length_a 11.188
_cell_length_b 11.188
_cell_length_c 7.861
_cell_angle_alpha 90.00
_cell_angle_beta 90.00
_cell_angle_gamma 90.00
loop_
_space_group_symop_operation_xyz
'x,y,z'
'-x,-y,-z'
'-y+1/2,x,z'
'y+1/2,-x,-z'
'-x+1/2,-y+1/2,z'
'x+1/2,y+1/2,-z'
'y,-x+1/2,z'
'-y,x+1/2,-z'
'x+1/2,-y,-z'
'-x+1/2,y,z'
'-y,-x,-z'
'y,x,z'
'-x,y+1/2,-z'
'x,-y+1/2,z'
'y+1/2,x+1/2,-z'
'-y+1/2,-x+1/2,z'
loop_
_atom_site_label
_atom_site_fract_x
_atom_site_fract_y
_atom_site_fract_z
_atom_site_occupancy
Pr1 0.000 0.000 0.000 1
Pr2 0.250 0.750 0.500 1
Co1 0.025 0.250 0.475 1
Co2 0.075 0.588 0.337 1
Co3 0.086 0.250 0.972 1
Co4 0.136 0.136 0.253 1
Co5 0.140 0.140 0.699 1
Co6 0.140 0.750 0.111 1
Co7 0.250 0.250 0.469 1
Si1 0.069 0.750 0.824 1
B1 0.006 0.750 0.262 1
B2 0.064 0.064 0.482 1
B3 0.250 0.250 0.107 1
B4 0.250 0.250 0.852 1
```



## Co2BPt2 (PBE)

Data for Co2BPt2 after structural relaxation.

Properties
Distance to the lowest polymorph of the same formula in meV/atom: 43.5
Energy of formation in meV per atom: 123
DOS at the Fermi energy in states/eV/f.u.: 7.3

Geometry as CIF:
```
data_Co2BPt2
_chemical_formula_sum 'Co4 B2 Pt4'
_space_group_name_H-M_alt 'P 4/m b m'
_space_group_IT_number 127
_space_group_name_Hall '-P 4 2ab'
_cell_length_a 5.249
_cell_length_b 5.249
_cell_length_c 4.427
_cell_angle_alpha 90.00
_cell_angle_beta 90.00
_cell_angle_gamma 90.00
loop_
_atom_site_label
_atom_site_fract_x
_atom_site_fract_y
_atom_site_fract_z
_atom_site_occupancy
Co1 0.155 0.345 0.000 1
B1 0.000 0.000 0.000 1
Pt1 0.179 0.679 0.500 1
```



## CoB3Pt (PBE)

Data for CoB3Pt after structural relaxation.

Properties
Distance to the lowest polymorph of the same formula in meV/atom: 533.6
Energy of formation in meV per atom: 1481
DOS at the Fermi energy in states/eV/f.u.: 7.0

Geometry as CIF:
```
data_CoB3Pt
_chemical_formula_sum 'Co1 B3 Pt1'
_space_group_name_H-M_alt 'P m -3 m'
_space_group_IT_number 221
_space_group_name_Hall '-P 4 2 3'
_cell_length_a 4.075
_cell_length_b 4.075
_cell_length_c 4.075
_cell_angle_alpha 90.00
_cell_angle_beta 90.00
_cell_angle_gamma 90.00
loop_
_atom_site_label
_atom_site_fract_x
_atom_site_fract_y
_atom_site_fract_z
_atom_site_occupancy
Co1 0.000 0.000 0.000 1
B1 0.000 0.500 0.500 1
Pt1 0.500 0.500 0.500 1
```



## Co2BPt (PBE)

Data for Co2BPt after structural relaxation.

Properties
Energy of formation in meV per atom: 465
DOS at the Fermi energy in states/eV/f.u.: 3.4

Geometry as CIF:
```
data_Co2BPt
_chemical_formula_sum 'Co8 B4 Pt4'
_space_group_name_H-M_alt 'I -4 2 d'
_space_group_IT_number 122
_space_group_name_Hall 'I -4 2bw'
_cell_length_a 3.288
_cell_length_b 3.288
_cell_length_c 17.454
_cell_angle_alpha 90.00
_cell_angle_beta 90.00
_cell_angle_gamma 90.00
loop_
_atom_site_label
_atom_site_fract_x
_atom_site_fract_y
_atom_site_fract_z
_atom_site_occupancy
Co1 0.220 0.250 0.125 1
B1 0.000 0.000 0.000 1
Pt1 0.000 0.000 0.500 1
```



## CoB2Pt2 (PBE)

Data for CoB2Pt2 after structural relaxation.

Properties
Distance to the lowest polymorph of the same formula in meV/atom: 0.0
Energy of formation in meV per atom: 44
DOS at the Fermi energy in states/eV/f.u.: 4.3

Geometry as CIF:
```
data_CoB2Pt2
_chemical_formula_sum 'Co2 B4 Pt4'
_space_group_name_H-M_alt 'I 4/m m m'
_space_group_IT_number 139
_space_group_name_Hall '-I 4 2'
_cell_length_a 3.105
_cell_length_b 3.105
_cell_length_c 12.139
_cell_angle_alpha 90.00
_cell_angle_beta 90.00
_cell_angle_gamma 90.00
loop_
_atom_site_label
_atom_site_fract_x
_atom_site_fract_y
_atom_site_fract_z
_atom_site_occupancy
Co1 0.000 0.000 0.000 1
B1 0.000 0.500 0.250 1
Pt1 0.000 0.000 0.373 1
```



## CoB2Pt2 (PBE)

Data for CoB2Pt2 after structural relaxation.

Properties
Distance to the lowest polymorph of the same formula in meV/atom: 26.0
Energy of formation in meV per atom: 70
DOS at the Fermi energy in states/eV/f.u.: 4.1

Geometry as CIF:
```
data_CoB2Pt2
_chemical_formula_sum 'Co2 B4 Pt4'
_space_group_name_H-M_alt 'P 4/m b m'
_space_group_IT_number 127
_space_group_name_Hall '-P 4 2ab'
_cell_length_a 5.670
_cell_length_b 5.670
_cell_length_c 3.412
_cell_angle_alpha 90.00
_cell_angle_beta 90.00
_cell_angle_gamma 90.00
loop_
_atom_site_label
_atom_site_fract_x
_atom_site_fract_y
_atom_site_fract_z
_atom_site_occupancy
Co1 0.000 0.000 0.000 1
B1 0.111 0.389 0.000 1
Pt1 0.221 0.721 0.500 1
```



## Co2BPt2 (PBE)

Data for Co2BPt2 after structural relaxation.

Properties
Distance to the lowest polymorph of the same formula in meV/atom: 0.0
Energy of formation in meV per atom: 80
DOS at the Fermi energy in states/eV/f.u.: 5.3

Geometry as CIF:
```
data_Co2BPt2
_chemical_formula_sum 'Co4 B2 Pt4'
_space_group_name_H-M_alt 'P 4/m b m'
_space_group_IT_number 127
_space_group_name_Hall '-P 4 2ab'
_cell_length_a 5.604
_cell_length_b 5.604
_cell_length_c 4.254
_cell_angle_alpha 90.00
_cell_angle_beta 90.00
_cell_angle_gamma 90.00
loop_
_atom_site_label
_atom_site_fract_x
_atom_site_fract_y
_atom_site_fract_z
_atom_site_occupancy
Co1 0.146 0.354 0.000 1
B1 0.000 0.000 0.500 1
Pt1 0.166 0.666 0.500 1
```



## CoB3Pt (PBE)

Data for CoB3Pt after structural relaxation.

Properties
Distance to the lowest polymorph of the same formula in meV/atom: 0.0
Energy of formation in meV per atom: 947
DOS at the Fermi energy in states/eV/f.u.: 4.2

Geometry as CIF:
```
data_CoB3Pt
_chemical_formula_sum 'Co1 B3 Pt1'
_space_group_name_H-M_alt 'P m -3 m'
_space_group_IT_number 221
_space_group_name_Hall '-P 4 2 3'
_cell_length_a 3.760
_cell_length_b 3.760
_cell_length_c 3.760
_cell_angle_alpha 90.00
_cell_angle_beta 90.00
_cell_angle_gamma 90.00
loop_
_atom_site_label
_atom_site_fract_x
_atom_site_fract_y
_atom_site_fract_z
_atom_site_occupancy
Co1 0.000 0.000 0.000 1
B1 0.000 0.000 0.500 1
Pt1 0.500 0.500 0.500 1
```



## ScCo2BPt (PBE)

Data for ScCo2BPt after structural relaxation.

Properties
Energy of formation in meV per atom: -516
DOS at the Fermi energy in states/eV/f.u.: 1.5

Geometry as CIF:
```
data_ScCo2BPt
_chemical_formula_sum 'Sc1 Co2 B1 Pt1'
_space_group_name_H-M_alt 'P 4/m m m'
_space_group_IT_number 123
_space_group_name_Hall '-P 4 2'
_cell_length_a 3.935
_cell_length_b 3.935
_cell_length_c 4.112
_cell_angle_alpha 90.00
_cell_angle_beta 90.00
_cell_angle_gamma 90.00
loop_
_atom_site_label
_atom_site_fract_x
_atom_site_fract_y
_atom_site_fract_z
_atom_site_occupancy
Sc1 0.000 0.000 0.000 1
Co1 0.000 0.500 0.500 1
B1 0.500 0.500 0.500 1
Pt1 0.500 0.500 0.000 1
```



## YCo2BPt (PBE)

Data for YCo2BPt after structural relaxation.

Properties
Energy of formation in meV per atom: 2318
DOS at the Fermi energy in states/eV/f.u.: 4.8

Geometry as CIF:
```
data_YCo2BPt
_chemical_formula_sum 'Y1 Co2 B1 Pt1'
_space_group_name_H-M_alt 'P 4/m m m'
_space_group_IT_number 123
_space_group_name_Hall '-P 4 2'
_cell_length_a 4.700
_cell_length_b 4.700
_cell_length_c 5.133
_cell_angle_alpha 90.00
_cell_angle_beta 90.00
_cell_angle_gamma 90.00
loop_
_atom_site_label
_atom_site_fract_x
_atom_site_fract_y
_atom_site_fract_z
_atom_site_occupancy
Y1 0.000 0.000 0.000 1
Co1 0.000 0.500 0.000 1
B1 0.500 0.500 0.500 1
Pt1 0.000 0.000 0.500 1
```